Entry from the Alexandria database: a relaxed Mg2CdAg crystal (PBE).

Cell and atoms, written as POSCAR:
```
Mg2CdAg
1.0
-6.467 -6.186 4.311
-3.806 -7.427 5.389
-5.122 -5.012 6.880
Mg Ag Cd
2 1 1
direct
0.994 0.994 0.994
0.506 0.506 0.506
0.250 0.250 0.250
0.750 0.750 0.750
```

space group: R-3m (166)
E_form: -0.06 eV/atom
ΔE to the lowest computed polymorph: 0.1126 eV/atom
calculated volume: 82.8 Å³/cell